[1]
Below is a PBEsol-optimized structure of Co2SiSb, with properties calculated at the meta-GGA SCAN level.

Values from the calculation:
E above lowest polymorph	39	meV/atom
space-group type	No. 123
DOS(E_F)	2.534	states/eV/cell
raw formation energy	0.126	eV/atom

abc: 2.875 2.875 6.387
angles: 90.00 90.00 90.00
Last column: magnetic moment on the atom in μB.
Fractional positions:
Co  0.000  0.000  0.301  0.68
Co  0.000  0.000  0.699  0.68
Sb  0.500  0.500  0.000  0.01
Si  0.500  0.500  0.500  -0.04



[2]
Below is a PBEsol-optimized structure of Co2Si2Sb, with properties calculated at the meta-GGA SCAN level.

Values from the calculation:
space-group type	No. 127
DOS(E_F)	5.122	states/eV/cell
raw formation energy	0.084	eV/atom

abc: 2.708 7.002 7.002
angles: 90.00 90.00 90.00
Fractional positions:
Co  0.000  0.643  0.143
Co  0.000  0.143  0.357
Co  0.000  0.357  0.857
Co  0.000  0.857  0.643
Si  0.500  0.360  0.140
Si  0.500  0.640  0.860
Si  0.500  0.860  0.360
Si  0.500  0.140  0.640
Sb  0.000  0.000  0.000
Sb  0.000  0.500  0.500



[3]
Below is a PBEsol-optimized structure of Co2SiSb, with properties calculated at the meta-GGA SCAN level.

Values from the calculation:
E above lowest polymorph	663	meV/atom
space-group type	No. 216
DOS(E_F)	3.230	states/eV/cell
raw formation energy	0.750	eV/atom

abc: 4.267 4.267 4.267
angles: 60.00 60.00 60.00
Fractional positions:
Sb  0.500  0.500  0.500
Co  0.250  0.250  0.250
Co  0.000  0.000  0.000
Si  0.750  0.750  0.750



[4]
Below is a PBEsol-optimized structure of CoSiSbTe2, with properties calculated at the meta-GGA SCAN level.

Values from the calculation:
space-group type	No. 123
DOS(E_F)	4.640	states/eV/cell
raw formation energy	0.728	eV/atom

abc: 4.653 5.054 5.054
angles: 90.00 90.00 90.00
Fractional positions:
Co  0.000  0.000  0.000
Sb  0.500  0.000  0.000
Te  0.000  0.500  0.000
Te  0.000  0.000  0.500
Si  0.500  0.500  0.500



[5]
Below is a PBEsol-optimized structure of SrCo3Sb, with properties calculated at the meta-GGA SCAN level.

Values from the calculation:
space-group type	No. 221
DOS(E_F)	6.100	states/eV/cell
raw formation energy	0.605	eV/atom

abc: 4.721 4.721 4.721
angles: 90.00 90.00 90.00
Last column: magnetic moment on the atom in μB.
Fractional positions:
Co  0.000  0.500  0.000  1.66
Co  0.500  0.000  0.000  1.66
Co  0.000  0.000  0.500  1.66
Sb  0.000  0.000  0.000  -0.02
Sr  0.500  0.500  0.500  -0.12



[6]
Below is a PBEsol-optimized structure of Ta4CoSb, with properties calculated at the meta-GGA SCAN level.

Values from the calculation:
space-group type	No. 216
DOS(E_F)	4.647	states/eV/cell
raw formation energy	0.601	eV/atom

abc: 5.372 5.372 5.372
angles: 60.00 60.00 60.00
Last column: magnetic moment on the atom in μB.
Fractional positions:
Ta  0.875  0.375  0.375  0.01
Ta  0.375  0.375  0.375  0.01
Ta  0.375  0.375  0.875  0.01
Ta  0.375  0.875  0.375  0.01
Co  0.750  0.750  0.750  2.01
Sb  0.000  0.000  0.000  0.01